Version a
This record from Alexandria describes a relaxed Ba2CoBr crystal. The functional is PBE.

Output
- density of states at the Fermi level (states/eV/cell) = 0.00
- calculated volume (Å³/cell) = 615.2

Cell and atoms, written as CIF:
```
data_Ba2CoBr
_chemical_formula_sum 'Ba8 Co4 Br4'
_cell_length_a 8.0215
_cell_length_b 8.0215
_cell_length_c 9.5617
_cell_angle_alpha 90.00
_cell_angle_beta 90.00
_cell_angle_gamma 90.00
_symmetry_space_group_name_H-M 'I -4 2 d'
_symmetry_Int_Tables_number 122
_symmetry_space_group_name_Hall 'I -4 2bw'
loop_
_atom_site_label
_atom_site_type_symbol
_atom_site_fract_x
_atom_site_fract_y
_atom_site_fract_z
Ba1 Ba 0.1982 0.2500 0.1250
Co1 Co 0.0000 0.0000 0.0000
Br1 Br 0.0000 0.0000 0.5000
```



Version b
This record from Alexandria describes a relaxed Ba2CoBr crystal. The functional is PBE.

Output
- density of states at the Fermi level (states/eV/cell) = 6.33
- calculated volume (Å³/cell) = 270.0

Cell and atoms, written as CIF:
```
data_Ba2CoBr
_chemical_formula_sum 'Ba4 Co2 Br2'
_cell_length_a 5.1913
_cell_length_b 4.1688
_cell_length_c 12.4746
_cell_angle_alpha 90.00
_cell_angle_beta 90.00
_cell_angle_gamma 90.00
_symmetry_space_group_name_H-M 'A m m 2'
_symmetry_Int_Tables_number 38
_symmetry_space_group_name_Hall 'A 2 -2'
loop_
_atom_site_label
_atom_site_type_symbol
_atom_site_fract_x
_atom_site_fract_y
_atom_site_fract_z
Ba1 Ba 0.0000 0.0000 0.0000
Ba2 Ba 0.5000 0.0000 0.2705
Co1 Co 0.5000 0.0000 0.4912
Br1 Br 0.0000 0.0000 0.7309
```



Version c
This record from Alexandria describes a relaxed Ba2CoBr crystal. The functional is PBE.

Output
- density of states at the Fermi level (states/eV/cell) = 12.76
- calculated volume (Å³/cell) = 288.5

Cell and atoms, written as CIF:
```
data_Ba2CoBr
_chemical_formula_sum 'Ba4 Co2 Br2'
_cell_length_a 4.5849
_cell_length_b 4.5849
_cell_length_c 13.7217
_cell_angle_alpha 90.00
_cell_angle_beta 90.00
_cell_angle_gamma 90.00
_symmetry_space_group_name_H-M 'I -4 m 2'
_symmetry_Int_Tables_number 119
_symmetry_space_group_name_Hall 'I -4 -2'
loop_
_atom_site_label
_atom_site_type_symbol
_atom_site_fract_x
_atom_site_fract_y
_atom_site_fract_z
Ba1 Ba 0.0000 0.0000 0.0000
Ba2 Ba 0.0000 0.5000 0.2500
Co1 Co 0.0000 0.0000 0.5000
Br1 Br 0.0000 0.5000 0.7500
```



Version d
This record from Alexandria describes a relaxed Ba2CoBr crystal. The functional is PBE.

Output
- density of states at the Fermi level (states/eV/cell) = 31.00
- calculated volume (Å³/cell) = 501.8

Cell and atoms, written as CIF:
```
data_Ba2CoBr
_chemical_formula_sum 'Ba8 Co4 Br4'
_cell_length_a 7.9463
_cell_length_b 7.9463
_cell_length_c 7.9463
_cell_angle_alpha 90.00
_cell_angle_beta 90.00
_cell_angle_gamma 90.00
_symmetry_space_group_name_H-M 'F -4 3 m'
_symmetry_Int_Tables_number 216
_symmetry_space_group_name_Hall 'F -4 2 3'
loop_
_atom_site_label
_atom_site_type_symbol
_atom_site_fract_x
_atom_site_fract_y
_atom_site_fract_z
Ba1 Ba 0.0000 0.0000 0.0000
Ba2 Ba 0.2500 0.2500 0.2500
Co1 Co 0.2500 0.2500 0.7500
Br1 Br 0.0000 0.0000 0.5000
```



How far above the most stable structure does each one sit? In kJ/mol of atoms: version a 6.3; version b 0.0; version c 20.4; version d 55.9.



Version a
This record from Alexandria describes a relaxed BaCo2Br crystal. The functional is PBE.

Output
- density of states at the Fermi level (states/eV/cell) = 3.88
- calculated volume (Å³/cell) = 227.1

Cell and atoms, written as CIF:
```
data_BaCo2Br
_chemical_formula_sum 'Ba2 Co4 Br2'
_cell_length_a 11.6882
_cell_length_b 3.7003
_cell_length_c 5.6417
_cell_angle_alpha 90.00
_cell_angle_beta 111.43
_cell_angle_gamma 90.00
_symmetry_space_group_name_H-M 'C 1 2/m 1'
_symmetry_Int_Tables_number 12
_symmetry_space_group_name_Hall '-C 2y'
loop_
_atom_site_label
_atom_site_type_symbol
_atom_site_fract_x
_atom_site_fract_y
_atom_site_fract_z
Ba1 Ba 0.0000 0.0000 0.0000
Co1 Co 0.2114 0.5000 0.8856
Br1 Br 0.0000 0.5000 0.5000
```



Version b
This record from Alexandria describes a relaxed BaCo2Br crystal. The functional is PBE.

Output
- density of states at the Fermi level (states/eV/cell) = 14.62
- calculated volume (Å³/cell) = 375.7

Cell and atoms, written as CIF:
```
data_BaCo2Br
_chemical_formula_sum 'Ba4 Co8 Br4'
_cell_length_a 4.8864
_cell_length_b 4.8864
_cell_length_c 15.7347
_cell_angle_alpha 90.00
_cell_angle_beta 90.00
_cell_angle_gamma 90.00
_symmetry_space_group_name_H-M 'I 41/a m d'
_symmetry_Int_Tables_number 141
loop_
_symmetry_equiv_pos_as_xyz
'x,y,z'
'-x,-y,-z'
'-y+1/4,x+3/4,z+1/4'
'y+1/4,-x+3/4,-z+1/4'
'-x+1/2,-y,z+1/2'
'x+1/2,y,-z+1/2'
'y+1/4,-x+1/4,z+3/4'
'-y+1/4,x+1/4,-z+3/4'
'x,-y,-z'
'-x,y,z'
'-y+1/4,-x+1/4,-z+3/4'
'y+1/4,x+1/4,z+3/4'
'-x+1/2,y,-z+1/2'
'x+1/2,-y,z+1/2'
'y+1/4,x+3/4,-z+1/4'
'-y+1/4,-x+3/4,z+1/4'
'x+1/2,y+1/2,z+1/2'
'-x+1/2,-y+1/2,-z+1/2'
'-y+3/4,x+1/4,z+3/4'
'y+3/4,-x+1/4,-z+3/4'
'-x,-y+1/2,z'
'x,y+1/2,-z'
'y+3/4,-x+3/4,z+1/4'
'-y+3/4,x+3/4,-z+1/4'
'x+1/2,-y+1/2,-z+1/2'
'-x+1/2,y+1/2,z+1/2'
'-y+3/4,-x+3/4,-z+1/4'
'y+3/4,x+3/4,z+1/4'
'-x,y+1/2,-z'
'x,-y+1/2,z'
'y+3/4,x+1/4,-z+3/4'
'-y+3/4,-x+1/4,z+3/4'
loop_
_atom_site_label
_atom_site_type_symbol
_atom_site_fract_x
_atom_site_fract_y
_atom_site_fract_z
Ba1 Ba 0.0000 0.2500 0.3750
Co1 Co 0.0000 0.0000 0.0000
Br1 Br 0.0000 0.2500 0.8750
```



Version c
This record from Alexandria describes a relaxed BaCo2Br crystal. The functional is PBE.

Output
- density of states at the Fermi level (states/eV/cell) = 2.74
- calculated volume (Å³/cell) = 96.9

Cell and atoms, written as CIF:
```
data_BaCo2Br
_chemical_formula_sum 'Ba1 Co2 Br1'
_cell_length_a 3.5053
_cell_length_b 3.5053
_cell_length_c 7.8822
_cell_angle_alpha 90.00
_cell_angle_beta 90.00
_cell_angle_gamma 90.00
_symmetry_space_group_name_H-M 'P 4 m m'
_symmetry_Int_Tables_number 99
_symmetry_space_group_name_Hall 'P 4 -2'
loop_
_atom_site_label
_atom_site_type_symbol
_atom_site_fract_x
_atom_site_fract_y
_atom_site_fract_z
Ba1 Ba 0.0000 0.0000 0.0000
Co1 Co 0.0000 0.0000 0.6283
Co2 Co 0.5000 0.5000 0.6688
Br1 Br 0.5000 0.5000 0.2588
```



How far above the most stable structure does each one sit? In kJ/mol of atoms: version a 0.0; version b 15.3; version c 1.2.



Version a
This record from Alexandria describes a relaxed BaCo2Br crystal. The functional is PBE.

Output
- density of states at the Fermi level (states/eV/cell) = 11.58
- calculated volume (Å³/cell) = 212.0

Cell and atoms, written as CIF:
```
data_BaCo2Br
_chemical_formula_sum 'Ba2 Co4 Br2'
_cell_length_a 3.8673
_cell_length_b 4.5932
_cell_length_c 11.9340
_cell_angle_alpha 90.00
_cell_angle_beta 90.00
_cell_angle_gamma 90.00
_symmetry_space_group_name_H-M 'I m m m'
_symmetry_Int_Tables_number 71
_symmetry_space_group_name_Hall '-I 2 2'
loop_
_atom_site_label
_atom_site_type_symbol
_atom_site_fract_x
_atom_site_fract_y
_atom_site_fract_z
Ba1 Ba 0.0000 0.0000 0.0000
Co1 Co 0.0000 0.5000 0.2483
Br1 Br 0.0000 0.0000 0.5000
```



Version b
This record from Alexandria describes a relaxed BaCo2Br crystal. The functional is PBE.

Output
- density of states at the Fermi level (states/eV/cell) = 29.02
- calculated volume (Å³/cell) = 387.6

Cell and atoms, written as CIF:
```
data_BaCo2Br
_chemical_formula_sum 'Ba4 Co8 Br4'
_cell_length_a 7.2909
_cell_length_b 7.2909
_cell_length_c 7.2909
_cell_angle_alpha 90.00
_cell_angle_beta 90.00
_cell_angle_gamma 90.00
_symmetry_space_group_name_H-M 'F -4 3 m'
_symmetry_Int_Tables_number 216
_symmetry_space_group_name_Hall 'F -4 2 3'
loop_
_atom_site_label
_atom_site_type_symbol
_atom_site_fract_x
_atom_site_fract_y
_atom_site_fract_z
Ba1 Ba 0.0000 0.0000 0.0000
Co1 Co 0.0000 0.0000 0.5000
Co2 Co 0.2500 0.2500 0.2500
Br1 Br 0.2500 0.2500 0.7500
```



Version c
This record from Alexandria describes a relaxed BaCo2Br crystal. The functional is PBE.

Output
- density of states at the Fermi level (states/eV/cell) = 4.41
- calculated volume (Å³/cell) = 101.6

Cell and atoms, written as CIF:
```
data_BaCo2Br
_chemical_formula_sum 'Ba1 Co2 Br1'
_cell_length_a 4.4698
_cell_length_b 4.6138
_cell_length_c 4.9269
_cell_angle_alpha 90.00
_cell_angle_beta 90.00
_cell_angle_gamma 90.00
_symmetry_space_group_name_H-M 'P m m m'
_symmetry_Int_Tables_number 47
_symmetry_space_group_name_Hall '-P 2 2'
loop_
_atom_site_label
_atom_site_type_symbol
_atom_site_fract_x
_atom_site_fract_y
_atom_site_fract_z
Ba1 Ba 0.0000 0.0000 0.0000
Co1 Co 0.5000 0.5000 0.2233
Br1 Br 0.0000 0.5000 0.5000
```



Version d
This record from Alexandria describes a relaxed BaCo2Br crystal. The functional is PBE.

Output
- density of states at the Fermi level (states/eV/cell) = 7.11
- calculated volume (Å³/cell) = 199.1

Cell and atoms, written as CIF:
```
data_BaCo2Br
_chemical_formula_sum 'Ba2 Co4 Br2'
_cell_length_a 3.7526
_cell_length_b 6.0882
_cell_length_c 8.7144
_cell_angle_alpha 90.00
_cell_angle_beta 90.00
_cell_angle_gamma 90.00
_symmetry_space_group_name_H-M 'I m m 2'
_symmetry_Int_Tables_number 44
_symmetry_space_group_name_Hall 'I 2 -2'
loop_
_atom_site_label
_atom_site_type_symbol
_atom_site_fract_x
_atom_site_fract_y
_atom_site_fract_z
Ba1 Ba 0.0000 0.0000 0.0000
Co1 Co 0.0000 0.0000 0.5306
Co2 Co 0.0000 0.5000 0.1714
Br1 Br 0.0000 0.5000 0.8245
```



How far above the most stable structure does each one sit? In kJ/mol of atoms: version a 36.0; version b 42.6; version c 2.9; version d 0.0.



Version a
This record from Alexandria describes a relaxed BaCo3Br crystal. The functional is PBE.

Output
- density of states at the Fermi level (states/eV/cell) = 3.17
- calculated volume (Å³/cell) = 133.6

Cell and atoms, written as CIF:
```
data_BaCo3Br
_chemical_formula_sum 'Ba1 Co3 Br1'
_cell_length_a 5.1124
_cell_length_b 5.1124
_cell_length_c 5.1124
_cell_angle_alpha 90.00
_cell_angle_beta 90.00
_cell_angle_gamma 90.00
_symmetry_space_group_name_H-M 'P m -3 m'
_symmetry_Int_Tables_number 221
_symmetry_space_group_name_Hall '-P 4 2 3'
loop_
_atom_site_label
_atom_site_type_symbol
_atom_site_fract_x
_atom_site_fract_y
_atom_site_fract_z
Ba1 Ba 0.0000 0.0000 0.0000
Co1 Co 0.0000 0.0000 0.5000
Br1 Br 0.5000 0.5000 0.5000
```



Version b
This record from Alexandria describes a relaxed BaCo3Br crystal. The functional is PBE.

Output
- density of states at the Fermi level (states/eV/cell) = 8.45
- calculated volume (Å³/cell) = 97.6

Cell and atoms, written as CIF:
```
data_BaCo3Br
_chemical_formula_sum 'Ba1 Co3 Br1'
_cell_length_a 4.6034
_cell_length_b 4.6034
_cell_length_c 4.6034
_cell_angle_alpha 90.00
_cell_angle_beta 90.00
_cell_angle_gamma 90.00
_symmetry_space_group_name_H-M 'P m -3 m'
_symmetry_Int_Tables_number 221
_symmetry_space_group_name_Hall '-P 4 2 3'
loop_
_atom_site_label
_atom_site_type_symbol
_atom_site_fract_x
_atom_site_fract_y
_atom_site_fract_z
Ba1 Ba 0.0000 0.0000 0.0000
Co1 Co 0.0000 0.5000 0.5000
Br1 Br 0.5000 0.5000 0.5000
```



How far above the most stable structure does each one sit? In kJ/mol of atoms: version a 113.9; version b 0.0.



Version a
This record from Alexandria describes a relaxed BaCoBr crystal. The functional is PBE.

Output
- calculated volume (Å³/cell) = 475.4

Cell and atoms, written as CIF:
```
data_BaCoBr
_chemical_formula_sum 'Ba4 Co4 Br4'
_cell_length_a 7.8047
_cell_length_b 7.8047
_cell_length_c 7.8047
_cell_angle_alpha 90.00
_cell_angle_beta 90.00
_cell_angle_gamma 90.00
_symmetry_space_group_name_H-M 'F -4 3 m'
_symmetry_Int_Tables_number 216
_symmetry_space_group_name_Hall 'F -4 2 3'
loop_
_atom_site_label
_atom_site_type_symbol
_atom_site_fract_x
_atom_site_fract_y
_atom_site_fract_z
Ba1 Ba 0.0000 0.0000 0.0000
Co1 Co 0.2500 0.2500 0.2500
Br1 Br 0.2500 0.2500 0.7500
```



Version b
This record from Alexandria describes a relaxed BaCoBr crystal. The functional is PBE.

Output
- density of states at the Fermi level (states/eV/cell) = 20.66
- calculated volume (Å³/cell) = 316.9

Cell and atoms, written as CIF:
```
data_BaCoBr
_chemical_formula_sum 'Ba4 Co4 Br4'
_cell_length_a 6.8175
_cell_length_b 6.8175
_cell_length_c 6.8175
_cell_angle_alpha 90.00
_cell_angle_beta 90.00
_cell_angle_gamma 90.00
_symmetry_space_group_name_H-M 'F -4 3 m'
_symmetry_Int_Tables_number 216
_symmetry_space_group_name_Hall 'F -4 2 3'
loop_
_atom_site_label
_atom_site_type_symbol
_atom_site_fract_x
_atom_site_fract_y
_atom_site_fract_z
Ba1 Ba 0.0000 0.0000 0.0000
Co1 Co 0.2500 0.2500 0.2500
Br1 Br 0.0000 0.0000 0.5000
```



Version c
This record from Alexandria describes a relaxed BaCoBr crystal. The functional is PBE.

Output
- density of states at the Fermi level (states/eV/cell) = 13.83
- calculated volume (Å³/cell) = 202.4

Cell and atoms, written as CIF:
```
data_BaCoBr
_chemical_formula_sum 'Ba2 Co2 Br2'
_cell_length_a 5.1412
_cell_length_b 5.1412
_cell_length_c 7.6578
_cell_angle_alpha 90.00
_cell_angle_beta 90.00
_cell_angle_gamma 90.00
_symmetry_space_group_name_H-M 'P 4/n m m'
_symmetry_Int_Tables_number 129
loop_
_symmetry_equiv_pos_as_xyz
'x,y,z'
'-x,-y,-z'
'-y+1/2,x,z'
'y+1/2,-x,-z'
'-x+1/2,-y+1/2,z'
'x+1/2,y+1/2,-z'
'y,-x+1/2,z'
'-y,x+1/2,-z'
'x+1/2,-y,-z'
'-x+1/2,y,z'
'-y,-x,-z'
'y,x,z'
'-x,y+1/2,-z'
'x,-y+1/2,z'
'y+1/2,x+1/2,-z'
'-y+1/2,-x+1/2,z'
loop_
_atom_site_label
_atom_site_type_symbol
_atom_site_fract_x
_atom_site_fract_y
_atom_site_fract_z
Ba1 Ba 0.2500 0.2500 0.2240
Co1 Co 0.2500 0.2500 0.7869
Br1 Br 0.2500 0.7500 0.5000
```



How far above the most stable structure does each one sit? In kJ/mol of atoms: version a 0.0; version b 21.3; version c 0.8.